Record 1
AcPmZnCo | PBE | optimized geometry

Output
- Space group: F-43m
- E: -4.340 eV per atom

Cell: 7.3231 7.3231 7.3231 Å, 90.00 90.00 90.00°
With the nearest neighbours (Å) after each atom.
Positions (direct):
Ac: 0.0000 0.0000 0.0000  4 Co 3.17, 4 Zn 3.17
Ac: 0.0000 0.5000 0.5000  4 Co 3.17, 4 Zn 3.17
Ac: 0.5000 0.0000 0.5000  4 Co 3.17, 4 Zn 3.17
Ac: 0.5000 0.5000 0.0000  4 Co 3.17, 4 Zn 3.17
Pm: 0.0000 0.0000 0.5000  4 Zn 3.17, 4 Co 3.17
Pm: 0.0000 0.5000 0.0000  4 Zn 3.17, 4 Co 3.17
Pm: 0.5000 0.0000 0.0000  4 Zn 3.17, 4 Co 3.17
Pm: 0.5000 0.5000 0.5000  4 Zn 3.17, 4 Co 3.17
Zn: 0.2500 0.2500 0.7500  4 Ac 3.17, 4 Pm 3.17
Zn: 0.2500 0.7500 0.2500  4 Ac 3.17, 4 Pm 3.17
Zn: 0.7500 0.2500 0.2500  4 Ac 3.17, 4 Pm 3.17
Zn: 0.7500 0.7500 0.7500  4 Ac 3.17, 4 Pm 3.17
Co: 0.2500 0.2500 0.2500  4 Ac 3.17, 4 Pm 3.17
Co: 0.2500 0.7500 0.7500  4 Ac 3.17, 4 Pm 3.17
Co: 0.7500 0.2500 0.7500  4 Ac 3.17, 4 Pm 3.17
Co: 0.7500 0.7500 0.2500  4 Ac 3.17, 4 Pm 3.17



Record 2
ScGa2CuRu | PBE | optimized geometry

Output
- Space group: P4/mmm
- E: -4.046 eV per atom

Cell: 5.1659 5.1659 4.5378 Å, 90.00 90.00 90.00°
With the nearest neighbours (Å) after each atom.
Positions (direct):
Sc: 0.0000 0.0000 0.0000  2 Ru 2.27
Ga: 0.0000 0.5000 0.0000  2 Sc 2.58
Ga: 0.5000 0.0000 0.0000  2 Sc 2.58
Cu: 0.5000 0.5000 0.5000  8 Ga 3.44, 4 Ru 3.65
Ru: 0.0000 0.0000 0.5000  2 Sc 2.27



Record 3
La2MnIn | PBE | optimized geometry

Output
- Space group: R-3m
- E: -5.306 eV per atom

Cell: 3.8474 3.8474 28.0087 Å, 90.00 90.00 120.00°
With the nearest neighbours (Å) after each atom.
Positions (direct):
La: 0.0000 0.0000 0.2388  3 Mn 3.00
La: 0.0000 0.0000 0.7612  3 Mn 3.00
La: 0.3333 0.6667 0.4279  3 Mn 3.00
La: 0.3333 0.6667 0.9055  3 Mn 3.00
La: 0.6667 0.3333 0.0945  3 Mn 3.00
La: 0.6667 0.3333 0.5721  3 Mn 3.00
Mn: 0.0000 0.0000 0.5000  6 La 3.00
Mn: 0.3333 0.6667 0.1667  6 La 3.00
Mn: 0.6667 0.3333 0.8333  6 La 3.00
In: 0.0000 0.0000 0.0000  6 La 3.46, 6 In 3.85
In: 0.3333 0.6667 0.6667  6 La 3.46, 6 In 3.85
In: 0.6667 0.3333 0.3333  6 La 3.46, 6 In 3.85



Record 4
P2IrSe | PBE | optimized geometry

Output
- Space group: P1
- ΔE_f (raw): -39.1 meV/atom

Cell: 3.5391 4.3190 6.3250 Å, 94.59 106.22 114.05°
With the nearest neighbours (Å) after each atom.
Positions (direct):
P: 0.0000 0.0000 0.0000  1 P 2.17, 1 Ir 2.28, 2 Se 2.42-2.43
P: 0.3639 0.4384 0.2879  1 P 2.17, 2 Ir 2.30
Ir: 0.0764 0.8215 0.3326  4 P 2.28-2.51, 1 Se 2.47
Se: 0.4084 0.0765 0.7425  2 P 2.42-2.43, 1 Ir 2.47



Record 5
ScRuPt2 | PBE | optimized geometry

Output
- Space group: Fm-3m
- E: -7.319 eV per atom

Cell: 6.4161 6.4161 6.4161 Å, 90.00 90.00 90.00°
With the nearest neighbours (Å) after each atom.
Positions (direct):
Sc: 0.0000 0.0000 0.0000  8 Pt 2.78
Sc: 0.0000 0.5000 0.5000  8 Pt 2.78
Sc: 0.5000 0.0000 0.5000  8 Pt 2.78
Sc: 0.5000 0.5000 0.0000  8 Pt 2.78
Ru: 0.0000 0.0000 0.5000  8 Pt 2.78
Ru: 0.0000 0.5000 0.0000  8 Pt 2.78
Ru: 0.5000 0.0000 0.0000  8 Pt 2.78
Ru: 0.5000 0.5000 0.5000  8 Pt 2.78
Pt: 0.2500 0.2500 0.2500  4 Ru 2.78, 4 Sc 2.78
Pt: 0.2500 0.2500 0.7500  4 Ru 2.78, 4 Sc 2.78
Pt: 0.2500 0.7500 0.2500  4 Ru 2.78, 4 Sc 2.78
Pt: 0.2500 0.7500 0.7500  4 Ru 2.78, 4 Sc 2.78
Pt: 0.7500 0.2500 0.2500  4 Ru 2.78, 4 Sc 2.78
Pt: 0.7500 0.2500 0.7500  4 Ru 2.78, 4 Sc 2.78
Pt: 0.7500 0.7500 0.2500  4 Ru 2.78, 4 Sc 2.78
Pt: 0.7500 0.7500 0.7500  4 Ru 2.78, 4 Sc 2.78



Record 6
Zr2MnP | PBE | optimized geometry

Output
- Space group: R3m
- E: -8.427 eV per atom

Cell: 3.8861 3.8861 16.3832 Å, 90.00 90.00 120.00°
With the nearest neighbours (Å) after each atom.
Positions (direct):
Zr: 0.0000 0.0000 0.0000  3 P 2.69, 3 Mn 2.86
Zr: 0.0000 0.0000 0.1942  3 Mn 2.65, 3 P 2.82
Zr: 0.3333 0.6667 0.6667  3 P 2.69, 3 Mn 2.86
Zr: 0.3333 0.6667 0.8609  3 Mn 2.65, 3 P 2.82
Zr: 0.6667 0.3333 0.3333  3 P 2.69, 3 Mn 2.86
Zr: 0.6667 0.3333 0.5275  3 Mn 2.65, 3 P 2.82
Mn: 0.0000 0.0000 0.7746  3 P 2.26
Mn: 0.3333 0.6667 0.4413  3 P 2.26
Mn: 0.6667 0.3333 0.1080  3 P 2.26
P: 0.0000 0.0000 0.4235  3 Mn 2.26
P: 0.3333 0.6667 0.0902  3 Mn 2.26
P: 0.6667 0.3333 0.7568  3 Mn 2.26



Record 7
LaNiBPd2 | PBE | optimized geometry

Output
- Space group: P4/mmm
- E: -5.990 eV per atom

Cell: 4.4402 4.4402 4.1185 Å, 90.00 90.00 90.00°
With the nearest neighbours (Å) after each atom.
Positions (direct):
La: 0.0000 0.0000 0.0000  8 Pd 3.03, 4 Ni 3.14
Ni: 0.5000 0.5000 0.0000  2 B 2.06
B: 0.5000 0.5000 0.5000  2 Ni 2.06, 4 Pd 2.22
Pd: 0.0000 0.5000 0.5000  2 B 2.22
Pd: 0.5000 0.0000 0.5000  2 B 2.22



Record 8
Ir2PtCl | PBE | optimized geometry

Output
- Space group: I-42d
- ΔE_f (raw): 1011.8 meV/atom

Cell: 3.7838 3.7838 18.7851 Å, 90.00 90.00 90.00°
With the nearest neighbours (Å) after each atom.
Positions (direct):
Ir: 0.2291 0.2500 0.1250  4 Ir 2.57-2.79, 2 Pt 2.68, 2 Cl 2.73
Ir: 0.2500 0.7291 0.3750  4 Ir 2.57-2.79, 2 Pt 2.68, 2 Cl 2.73
Ir: 0.2500 0.7709 0.8750  4 Ir 2.57-2.79, 2 Pt 2.68, 2 Cl 2.73
Ir: 0.2709 0.2500 0.6250  4 Ir 2.57-2.79, 2 Pt 2.68, 2 Cl 2.73
Ir: 0.7291 0.7500 0.6250  4 Ir 2.57-2.79, 2 Pt 2.68, 2 Cl 2.73
Ir: 0.7500 0.2291 0.8750  4 Ir 2.57-2.79, 2 Pt 2.68, 2 Cl 2.73
Ir: 0.7500 0.2709 0.3750  4 Ir 2.57-2.79, 2 Pt 2.68, 2 Cl 2.73
Ir: 0.7709 0.7500 0.1250  4 Ir 2.57-2.79, 2 Pt 2.68, 2 Cl 2.73
Pt: 0.0000 0.0000 0.0000  4 Cl 2.68, 4 Ir 2.68
Pt: 0.0000 0.5000 0.2500  4 Cl 2.68, 4 Ir 2.68
Pt: 0.5000 0.0000 0.7500  4 Cl 2.68, 4 Ir 2.68
Pt: 0.5000 0.5000 0.5000  4 Cl 2.68, 4 Ir 2.68
Cl: 0.0000 0.0000 0.5000  4 Pt 2.68, 4 Ir 2.73
Cl: 0.0000 0.5000 0.7500  4 Pt 2.68, 4 Ir 2.73
Cl: 0.5000 0.0000 0.2500  4 Pt 2.68, 4 Ir 2.73
Cl: 0.5000 0.5000 0.0000  4 Pt 2.68, 4 Ir 2.73